Ta2PdPt2 | GGA-PBE | relaxed

Properties
M_tot   0.01 μB/cell
Energy of formation   0.00 eV/atom
E above lowest polymorph   473 meV per atom
Uncorrected energy   -81.9 eV for the cell shown

Cell: 3.7308 3.7308 13.2580 Å, 90.00 90.00 90.00°
Space group I4/mmm (No. 139)
Inequivalent atoms, fractional coordinates:
Ta  0.0000  0.0000  0.1028 [4 per cell]
Pd  0.0000  0.0000  0.5000 [2 per cell]
Pt  0.0000  0.5000  0.2500 [4 per cell]

Na2AcTbS4 | GGA-PBE | relaxed

Properties
M_tot   0.00 μB/cell
Formation energy without anion corrections   -1.81 eV per atom
Uncorrected energy   -42.3 eV for the cell shown

Cell: 7.1218 4.1853 7.2759 Å, 90.00 109.91 90.00°
Space group P2/m (No. 10)
Inequivalent atoms, fractional coordinates:
Na  0.0000  0.0000  0.0000 [1 per cell]
Na  0.0000  0.5000  0.5000 [1 per cell]
Ac  0.5000  0.0000  0.5000 [1 per cell]
Tb  0.5000  0.5000  0.0000 [1 per cell]
S  0.2632  0.5000  0.2360 [2 per cell]
S  0.2705  0.0000  0.7716 [2 per cell]

GdInCoRu | GGA-PBE | relaxed

Properties
M_tot   28.13 μB/cell
Energy of formation   -0.09 eV/atom
Uncorrected energy   -134.2 eV for the cell shown

Cell: 6.5718 6.5718 6.5718 Å, 90.00 90.00 90.00°
Space group F-43m (No. 216)
Inequivalent atoms, fractional coordinates:
Gd  0.0000  0.0000  0.0000 [4 per cell]
In  0.0000  0.0000  0.5000 [4 per cell]
Co  0.2500  0.2500  0.2500 [4 per cell]
Ru  0.2500  0.2500  0.7500 [4 per cell]

InReSb2Se | GGA-PBE | relaxed

Properties
M_tot   0.95 μB/cell
Formation energy without anion corrections   1.10 eV per atom
Uncorrected energy   -21.4 eV for the cell shown

Cell: 5.6129 5.6129 4.5681 Å, 90.00 90.00 90.00°
Space group P4/mmm (No. 123)
Inequivalent atoms, fractional coordinates:
In  0.0000  0.0000  0.0000 [1 per cell]
Re  0.5000  0.5000  0.0000 [1 per cell]
Sb  0.0000  0.5000  0.5000 [2 per cell]
Se  0.5000  0.5000  0.5000 [1 per cell]

MgBe2Te | GGA-PBE | relaxed

Properties
M_tot   0.00 μB/cell
Formation energy without anion corrections   0.75 eV per atom
E above lowest polymorph   558 meV per atom
Uncorrected energy   -36.8 eV for the cell shown

Cell: 6.6277 6.6277 6.6277 Å, 90.00 90.00 90.00°
Space group F-43m (No. 216)
Inequivalent atoms, fractional coordinates:
Mg  0.0000  0.0000  0.0000 [4 per cell]
Be  0.0000  0.0000  0.5000 [4 per cell]
Be  0.2500  0.2500  0.2500 [4 per cell]
Te  0.2500  0.2500  0.7500 [4 per cell]

Y4InRh | GGA-PBE | relaxed

Properties
M_tot   0.00 μB/cell
Energy of formation   -0.48 eV/atom
E above lowest polymorph   79 meV per atom
Uncorrected energy   -155.3 eV for the cell shown

Cell: 8.8141 13.0476 6.0953 Å, 90.00 107.55 90.00°
Space group C2/c (No. 15)
Inequivalent atoms, fractional coordinates:
Y  0.1094  0.1701  0.0493 [8 per cell]
Y  0.2134  0.4208  0.3883 [8 per cell]
In  0.0000  0.3763  0.7500 [4 per cell]
Rh  0.0000  0.9998  0.2500 [4 per cell]

SiAg2Pt | GGA-PBE | relaxed

Properties
M_tot   0.00 μB/cell
Formation energy without anion corrections   0.08 eV per atom
Uncorrected energy   -33.7 eV for the cell shown

Cell: 5.3065 8.5932 2.8832 Å, 90.00 90.00 90.00°
Space group Cmmm (No. 65)
Inequivalent atoms, fractional coordinates:
Si  0.0000  0.0000  0.0000 [2 per cell]
Ag  0.2500  0.2500  0.5000 [4 per cell]
Pt  0.0000  0.5000  0.0000 [2 per cell]

PmPr9Er2 | GGA-PBE | relaxed

Properties
M_tot   0.00 μB/cell
Energy of formation   0.01 eV/atom
Uncorrected energy   -56.7 eV for the cell shown

Cell: 5.1927 5.1927 15.5880 Å, 90.00 90.00 90.00°
Space group P4/mmm (No. 123)
Inequivalent atoms, fractional coordinates:
Pm  0.0000  0.0000  0.0000 [1 per cell]
Pr  0.0000  0.5000  0.1687 [4 per cell]
Pr  0.0000  0.5000  0.5000 [2 per cell]
Pr  0.5000  0.5000  0.0000 [1 per cell]
Pr  0.5000  0.5000  0.3350 [2 per cell]
Er  0.0000  0.0000  0.3345 [2 per cell]

YCoAg2 | GGA-PBE | relaxed

Properties
M_tot   5.47 μB/cell
Energy of formation   0.44 eV/atom
Uncorrected energy   -52.6 eV for the cell shown

Cell: 3.0711 3.0711 28.2779 Å, 90.00 90.00 120.00°
Space group R-3m (No. 166, hexagonal axes)
Inequivalent atoms, fractional coordinates:
Y  0.0000  0.0000  0.0000 [3 per cell]
Co  0.0000  0.0000  0.5000 [3 per cell]
Ag  0.0000  0.0000  0.2401 [6 per cell]

CePuGaTc | GGA-PBE | relaxed

Properties
M_tot   19.73 μB/cell
Energy of formation   -0.10 eV/atom
E above lowest polymorph   56 meV per atom
Uncorrected energy   -136.3 eV for the cell shown

Cell: 6.9985 6.9985 6.9985 Å, 90.00 90.00 90.00°
Space group F-43m (No. 216)
Inequivalent atoms, fractional coordinates:
Ce  0.0000  0.0000  0.0000 [4 per cell]
Pu  0.0000  0.0000  0.5000 [4 per cell]
Ga  0.2500  0.2500  0.7500 [4 per cell]
Tc  0.2500  0.2500  0.2500 [4 per cell]

InOs4Br | GGA-PBE | relaxed

Properties
M_tot   11.96 μB/cell
Formation energy without anion corrections   1.31 eV per atom
Uncorrected energy   -165.8 eV for the cell shown

Cell: 7.5212 7.5212 7.5212 Å, 90.00 90.00 90.00°
Space group F-43m (No. 216)
Inequivalent atoms, fractional coordinates:
In  0.0000  0.0000  0.0000 [4 per cell]
Os  0.1250  0.1250  0.6250 [16 per cell]
Br  0.2500  0.2500  0.2500 [4 per cell]

TaPtRh2 | GGA-PBE | relaxed

Properties
M_tot   3.92 μB/cell
Energy of formation   -0.17 eV/atom
Uncorrected energy   -99.9 eV for the cell shown

Cell: 2.8106 2.8106 27.3170 Å, 90.00 90.00 120.00°
Space group R3m (No. 160, hexagonal axes)
Inequivalent atoms, fractional coordinates:
Ta  0.0000  0.0000  0.0000 [3 per cell]
Pt  0.0000  0.0000  0.2491 [3 per cell]
Rh  0.0000  0.0000  0.4972 [3 per cell]
Rh  0.0000  0.0000  0.7486 [3 per cell]